Compound: Hg2BiAu2
Source: Alexandria
Functional: PBE-GGA
Structure: relaxed

Summary:
formation energy	94.7	meV per atom
excess energy over the best structure of this formula in the dataset	0.0471	eV per atom
SG	I4/mmm, No. 139
Fermi-level density of states	0.581	states/eV per atom

Geometry as POSCAR:
```
Hg2BiAu2
1.0
-0.615 0.245 -4.065
-2.562 -3.219 0.193
-6.969 2.860 -0.861
Au Hg Bi
2 2 1
direct
0.598 0.598 0.805
0.402 0.402 0.195
0.250 0.750 0.500
0.750 0.250 0.500
0.000 0.000 0.000
```